{"formula": "HfVFe2O", "functional": "GGA+U", "state": "optimized geometry", "density_kg_m3": 5408, "total_energy_ev_per_cell": -30.70, "m_tot_mub_per_atom": 0.53, "crystal_system": "tetragonal", "lattice_angstrom": [[5.321, 0.000, 0.000], [0.000, 5.321, 0.000], [0.000, 0.000, 3.873]], "species": ["Hf", "V", "Fe", "Fe", "O"], "frac_coords": [[0.000, 0.000, 0.000], [0.500, 0.500, 0.500], [0.000, 0.500, 0.000], [0.500, 0.000, 0.000], [0.000, 0.000, 0.500]]}